Entry from Alexandria via LeMat-Bulk: a relaxed KCr2AuO8 crystal (PBE with a Hubbard U).

Results
Spin magnetization   2.06 μB/f.u.
Total DFT energy (no corrections)   -5.8841 eV per atom
Space-group type   P-3

POSCAR file:
```
KCr2AuO8
1.0
5.2583 0.0000 0.0000
-2.6291 4.5538 0.0000
0.0000 0.0000 8.0571
K Cr Au O
1 2 1 8
direct
0.0000 0.0000 0.0000
0.6667 0.3333 0.2690
0.3333 0.6667 0.7310
0.0000 0.0000 0.5000
0.3333 0.6667 0.9331
0.3415 0.2914 0.3324
0.7086 0.0501 0.3324
0.6667 0.3333 0.0669
0.2914 0.9499 0.6676
0.6585 0.7086 0.6676
0.0501 0.3415 0.6676
0.9499 0.6585 0.3324
```